No. 1
First-principles (GGA-PBE) data for crystalline LiFeSiIr at its relaxed geometry, as listed in Alexandria via LeMat-Bulk.

a = 5.7018 Å, b = 5.7018 Å, c = 5.7018 Å
α = 90.00°, β = 90.00°, γ = 90.00°
Closest atoms and distances in Å follow each position.
Space group F-43m (No. 216)
One atom of each set of equivalent atoms:
Li 0.0000 0.0000 0.0000 (multiplicity 4)  4 Ir 2.47, 4 Fe 2.47
Fe 0.2500 0.2500 0.7500 (multiplicity 4)  4 Li 2.47, 4 Si 2.47
Si 0.0000 0.0000 0.5000 (multiplicity 4)  4 Fe 2.47, 4 Ir 2.47
Ir 0.2500 0.2500 0.2500 (multiplicity 4)  4 Li 2.47, 4 Si 2.47

Values from the calculation:
E_form (uncorrected)   -0.417 eV/atom

No. 2
First-principles (GGA-PBE) data for crystalline ScPt2Br at its relaxed geometry, as listed in Alexandria via LeMat-Bulk.

a = 3.9754 Å, b = 3.9754 Å, c = 9.1872 Å
α = 90.00°, β = 90.00°, γ = 90.00°
Closest atoms and distances in Å follow each position.
Space group I4/mmm (No. 139)
One atom of each set of equivalent atoms:
Sc 0.0000 0.0000 0.0000 (multiplicity 2)  4 Br 2.81, 8 Pt 3.04
Pt 0.0000 0.5000 0.2500 (multiplicity 4)  4 Pt 2.81, 4 Br 3.04, 4 Sc 3.04
Br 0.0000 0.0000 0.5000 (multiplicity 2)  4 Sc 2.81, 8 Pt 3.04

Values from the calculation:
Energy relative to the lowest polymorph listed for this composition   352 meV/atom
E_form (uncorrected)   -0.439 eV/atom

No. 3
First-principles (GGA-PBE) data for crystalline ScCuMo2 at its relaxed geometry, as listed in Alexandria via LeMat-Bulk.

a = 9.2279 Å, b = 2.7620 Å, c = 5.1442 Å
α = 90.00°, β = 96.06°, γ = 90.00°
Closest atoms and distances in Å follow each position.
Space group Cm (No. 8)
One atom of each set of equivalent atoms:
Sc 0.0000 0.0000 0.0000 (multiplicity 2)  3 Cu 2.71-2.77, 2 Sc 2.76, 5 Mo 2.77-2.95
Cu 0.2562 0.0000 0.7861 (multiplicity 2)  3 Sc 2.71-2.77, 2 Cu 2.76, 7 Mo 2.78-3.02
Mo 0.0286 0.5000 0.5091 (multiplicity 2)  3 Mo 2.55-2.76, 2 Cu 2.78
Mo 0.2671 0.5000 0.2997 (multiplicity 2)  3 Mo 2.55-2.76, 1 Sc 2.77

Values from the calculation:
Energy relative to the lowest polymorph listed for this composition   196 meV/atom
DFT formation energy   0.24 eV per atom

No. 4
First-principles (GGA-PBE) data for crystalline CrAsH2 at its relaxed geometry, as listed in Alexandria via LeMat-Bulk.

a = 5.4057 Å, b = 5.4057 Å, c = 5.4057 Å
α = 90.00°, β = 90.00°, γ = 90.00°
Closest atoms and distances in Å follow each position.
Space group Fm-3m (No. 225)
One atom of each set of equivalent atoms:
Cr 0.0000 0.0000 0.0000 (multiplicity 4)  8 H 2.34
As 0.0000 0.0000 0.5000 (multiplicity 4)  8 H 2.34
H 0.2500 0.2500 0.2500 (multiplicity 8)  4 Cr 2.34, 4 As 2.34

Values from the calculation:
Energy relative to the lowest polymorph listed for this composition   260 meV/atom

No. 5
First-principles (GGA-PBE) data for crystalline Nb2HgI at its relaxed geometry, as listed in Alexandria via LeMat-Bulk.

a = 4.2729 Å, b = 4.2729 Å, c = 20.2580 Å
α = 90.00°, β = 90.00°, γ = 90.00°
Closest atoms and distances in Å follow each position.
Space group I-42d (No. 122)
One atom of each set of equivalent atoms:
Nb 0.2303 0.2500 0.1250 (multiplicity 8)  4 Nb 2.90-3.14, 2 Hg 2.92, 2 I 2.98
Hg 0.0000 0.0000 0.0000 (multiplicity 4)  4 Nb 2.92, 4 I 3.02
I 0.0000 0.0000 0.5000 (multiplicity 4)  4 Nb 2.98, 4 Hg 3.02

Values from the calculation:
Energy relative to the lowest polymorph listed for this composition   184 meV/atom
E_form (uncorrected)   0.782 eV/atom

No. 6
First-principles (GGA-PBE) data for crystalline ZrCdPb2 at its relaxed geometry, as listed in Alexandria via LeMat-Bulk.

a = 3.1989 Å, b = 5.3931 Å, c = 5.9926 Å
α = 90.00°, β = 91.40°, γ = 90.00°
Closest atoms and distances in Å follow each position.
Space group P2/m (No. 10)
One atom of each set of equivalent atoms:
Zr 0.0000 0.0000 0.0000 (multiplicity 1)  2 Zr 3.20, 4 Pb 3.24, 4 Cd 3.36-3.43
Cd 0.5000 0.0000 0.5000 (multiplicity 1)  4 Pb 3.17, 2 Cd 3.20, 4 Zr 3.36-3.43
Pb 0.3184 0.5000 0.7577 (multiplicity 2)  4 Pb 3.10-3.33, 2 Cd 3.17, 2 Zr 3.24

Values from the calculation:
DFT formation energy   0.08 eV per atom

No. 7
First-principles (GGA-PBE) data for crystalline PmHo5Tm2Sc at its relaxed geometry, as listed in Alexandria via LeMat-Bulk.

a = 5.5218 Å, b = 19.6243 Å, c = 10.3269 Å
α = 90.00°, β = 90.00°, γ = 90.00°
Closest atoms and distances in Å follow each position.
Space group Cmc2_1 (No. 36)
One atom of each set of equivalent atoms:
Pm 0.0000 0.0874 0.0000 (multiplicity 4)  5 Ho 2.99-3.24
Ho 0.0000 0.0195 0.2861 (multiplicity 4)  2 Pm 3.05-3.24, 2 Tm 3.39
Ho 0.0000 0.1219 0.5686 (multiplicity 4)  4 Tm 3.50-3.55, 6 Ho 3.54-3.90, 1 Sc 3.58
Ho 0.0000 0.2013 0.2532 (multiplicity 4)  4 Ho 3.35-3.61, 2 Sc 3.40, 1 Pm 3.44, 3 Tm 3.46-3.65
Ho 0.0000 0.2230 0.8683 (multiplicity 4)  1 Pm 2.99, 1 Tm 3.25
Ho 0.0000 0.4819 0.5672 (multiplicity 4)  2 Pm 3.15, 3 Tm 3.32-3.48, 1 Sc 3.49
Tm 0.0000 0.3865 0.2836 (multiplicity 4)  1 Sc 3.30, 7 Ho 3.42-3.65, 2 Pm 3.59
Tm 0.0000 0.3885 0.8611 (multiplicity 4)  9 Ho 3.25-3.55, 1 Sc 3.51
Sc 0.0000 0.3041 0.5619 (multiplicity 4)  2 Tm 3.30-3.51, 7 Ho 3.40-3.58, 2 Pm 3.55

Values from the calculation:
DFT formation energy   0.18 eV per atom

No. 8
First-principles (GGA-PBE) data for crystalline La4SmDy5 at its relaxed geometry, as listed in Alexandria via LeMat-Bulk.

a = 17.2619 Å, b = 3.5576 Å, c = 11.5033 Å
α = 90.00°, β = 90.23°, γ = 90.00°
Closest atoms and distances in Å follow each position.
Space group C2/m (No. 12)
One atom of each set of equivalent atoms:
La 0.0335 0.0000 0.2489 (multiplicity 4)  4 Dy 3.34-3.42, 2 Sm 3.44, 2 La 3.56
La 0.1616 0.5000 0.7498 (multiplicity 4)  4 La 3.56-3.81, 6 Dy 3.66-3.89
Sm 0.0000 0.5000 0.5000 (multiplicity 2)  4 La 3.44, 4 Dy 3.53, 2 Sm 3.56
Dy 0.0000 0.5000 0.0000 (multiplicity 2)  4 La 3.42, 6 Dy 3.51-3.56
Dy 0.1727 0.0000 0.0474 (multiplicity 4)  2 La 3.35-3.68, 6 Dy 3.39-3.56
Dy 0.1736 0.0000 0.4499 (multiplicity 4)  2 La 3.34-3.66, 4 Dy 3.38-3.56, 2 Sm 3.53

Values from the calculation:
Energy relative to the lowest polymorph listed for this composition   7 meV/atom
DFT formation energy   0.19 eV per atom

No. 9
First-principles (GGA-PBE) data for crystalline NbCd3Sn at its relaxed geometry, as listed in Alexandria via LeMat-Bulk.

a = 5.3977 Å, b = 5.3977 Å, c = 5.3977 Å
α = 90.00°, β = 90.00°, γ = 90.00°
Closest atoms and distances in Å follow each position.
Space group Pm-3m (No. 221)
One atom of each set of equivalent atoms:
Nb 0.0000 0.0000 0.0000 (multiplicity 1)  6 Cd 2.70
Cd 0.0000 0.0000 0.5000 (multiplicity 3)  2 Nb 2.70
Sn 0.5000 0.5000 0.5000 (multiplicity 1)  12 Cd 3.82

Values from the calculation:
Energy relative to the lowest polymorph listed for this composition   0 meV/atom
DFT formation energy   0.96 eV per atom

No. 10
First-principles (GGA-PBE) data for crystalline NaTlCu3 at its relaxed geometry, as listed in Alexandria via LeMat-Bulk.

a = 5.0010 Å, b = 5.0010 Å, c = 5.0010 Å
α = 90.00°, β = 90.00°, γ = 90.00°
Closest atoms and distances in Å follow each position.
Space group Pm-3m (No. 221)
One atom of each set of equivalent atoms:
Na 0.0000 0.0000 0.0000 (multiplicity 1)  12 Cu 3.54
Tl 0.5000 0.5000 0.5000 (multiplicity 1)  6 Cu 2.50
Cu 0.0000 0.5000 0.5000 (multiplicity 3)  2 Tl 2.50

Values from the calculation:
Energy relative to the lowest polymorph listed for this composition   0 meV/atom
DFT formation energy   0.63 eV per atom

No. 11
First-principles (GGA-PBE) data for crystalline In2TeP at its relaxed geometry, as listed in Alexandria via LeMat-Bulk.

a = 5.1584 Å, b = 5.1584 Å, c = 7.4603 Å
α = 90.00°, β = 90.00°, γ = 90.00°
Closest atoms and distances in Å follow each position.
Space group I-4m2 (No. 119)
One atom of each set of equivalent atoms:
In 0.0000 0.0000 0.0000 (multiplicity 2)  4 In 3.18, 4 P 3.18
In 0.0000 0.5000 0.2500 (multiplicity 2)  4 In 3.18, 4 Te 3.18
Te 0.0000 0.0000 0.5000 (multiplicity 2)  4 In 3.18, 4 P 3.18
P 0.0000 0.5000 0.7500 (multiplicity 2)  4 In 3.18, 4 Te 3.18

Values from the calculation:
Energy relative to the lowest polymorph listed for this composition   482 meV/atom
E_form (uncorrected)   0.330 eV/atom

No. 12
First-principles (GGA-PBE) data for crystalline PmErAgPd at its relaxed geometry, as listed in Alexandria via LeMat-Bulk.

a = 3.5842 Å, b = 3.5842 Å, c = 7.2908 Å
α = 90.00°, β = 90.00°, γ = 90.00°
Closest atoms and distances in Å follow each position.
Space group P4mm (No. 99)
One atom of each set of equivalent atoms:
Pm 0.0000 0.0000 0.0000 (multiplicity 1)  4 Pd 3.16, 4 Ag 3.25, 1 Er 3.48
Er 0.0000 0.0000 0.4775 (multiplicity 1)  4 Pd 2.99, 4 Ag 3.10
Ag 0.5000 0.5000 0.7216 (multiplicity 1)  4 Er 3.10, 4 Pm 3.25, 1 Pd 3.37
Pd 0.5000 0.5000 0.2591 (multiplicity 1)  4 Er 2.99, 4 Pm 3.16

Values from the calculation:
Energy relative to the lowest polymorph listed for this composition   0 meV/atom
DFT formation energy   -0.57 eV per atom